Entry 1:
First-principles (PBE) data for crystalline BaTbBSe4 at its relaxed geometry, as listed in Alexandria via LeMat-Bulk.

Cell: 6.5138 6.7456 8.6948 Å, 90.00 107.92 90.00°
Element x y z (fractional)
Ba: 0.7236 0.7500 0.9291
Ba: 0.2764 0.2500 0.0709
Se: 0.3980 0.7500 0.1568
Se: 0.0077 0.9940 0.2746
B: 0.7884 0.2500 0.6828
Se: 0.9923 0.0060 0.7254
Se: 0.0077 0.5060 0.2746
B: 0.2116 0.7500 0.3172
Se: 0.6032 0.2500 0.4402
Se: 0.6020 0.2500 0.8432
Se: 0.3968 0.7500 0.5598
Tb: 0.7677 0.7500 0.4465
Tb: 0.2323 0.2500 0.5535
Se: 0.9923 0.4940 0.7254

Its spin magnetization is 0.000 Bohr magnetons per cell. The value obtained for the uncorrected formation energy is -1.31 eV per atom. The crystal system is monoclinic.

=====

Entry 2:
First-principles (PBE) data for crystalline BaTcBSe at its relaxed geometry, as listed in Alexandria via LeMat-Bulk.

Cell: 3.6344 3.8688 6.7091 Å, 104.29 94.17 111.03°
Element x y z (fractional)
Tc: 0.0790 0.0188 0.3819
Ba: 0.5138 0.0709 0.9453
Se: 0.7638 0.4877 0.5868
B: 0.2236 0.5490 0.2894

Its spin magnetization is 0.000 Bohr magnetons per cell. The value obtained for the uncorrected formation energy is -0.04 eV per atom. The crystal system is triclinic. For the polymorph energy (0 for the lowest one), the calculation gives 78.5 meV per atom.

=====

Entry 3:
First-principles (PBE) data for crystalline BaTcBSe at its relaxed geometry, as listed in Alexandria via LeMat-Bulk.

Cell: 4.8559 3.7227 5.5005 Å, 90.00 90.22 90.00°
Element x y z (fractional)
Tc: 0.0505 0.0000 0.2545
Ba: 0.5520 0.5000 0.6639
B: 0.0509 0.5000 0.3954
Se: 0.5500 0.0000 0.1532

Its spin magnetization is 0.000 Bohr magnetons per cell. The value obtained for the uncorrected formation energy is -0.08 eV per atom. The crystal system is monoclinic. For the polymorph energy (0 for the lowest one), the calculation gives 39.3 meV per atom.

=====

Entry 4:
First-principles (PBE) data for crystalline BaTcBSe at its relaxed geometry, as listed in Alexandria via LeMat-Bulk.

Cell: 3.9109 4.7249 5.5971 Å, 69.57 88.93 78.65°
Element x y z (fractional)
Tc: 0.3036 0.8446 0.7322
Ba: 0.8863 0.6476 0.2908
B: 0.7830 0.0097 0.6695
Se: 0.4208 0.2948 0.8406

Its spin magnetization is 0.000 Bohr magnetons per cell. The value obtained for the uncorrected formation energy is -0.08 eV per atom. The crystal system is triclinic. For the polymorph energy (0 for the lowest one), the calculation gives 46.8 meV per atom.